1.
Computed, not measured: a relaxed structure of Mg2InGa at the PBE-GGA level of DFT.

Calculated values
SG = Immm (71)
crystal system = orthorhombic
raw total energy = -2.0917 eV per atom
energy above the most stable polymorph in this dataset = 0.2485 eV per atom
energy of formation = 0.15 eV/atom
M_tot = 0.00 μB per atom

```
Mg2InGa
1.0
5.453 -2.028 -3.225
-1.612 5.590 3.225
-3.857 0.307 5.410
In Mg Ga
1 2 1
direct
0.000 0.500 0.500
0.000 0.764 0.764
0.000 0.236 0.236
0.000 0.000 0.000
```



2.
Computed, not measured: a relaxed structure of Mg2InGa at the PBE-GGA level of DFT.

Calculated values
SG = I-42d (122)
crystal system = tetragonal
raw total energy = -2.1724 eV per atom
energy above the most stable polymorph in this dataset = 0.1678 eV per atom
energy of formation = 0.07 eV/atom
M_tot = 0.00 μB per atom

```
Mg2InGa
1.0
-3.283 1.507 2.506
2.287 -1.026 3.612
3.582 9.196 3.020
Mg Ga In
4 2 2
direct
0.135 0.625 0.250
0.375 0.385 0.750
0.615 0.125 0.250
0.875 0.865 0.750
0.500 0.500 0.000
0.250 0.750 0.500
0.750 0.250 0.500
0.000 0.000 0.000
```



3.
Computed, not measured: a relaxed structure of Mg4InGa4 at the PBE-GGA level of DFT.

Calculated values
SG = P4_2/n (86)
crystal system = tetragonal
raw total energy = -2.4219 eV per atom
energy of formation = -0.06 eV/atom
M_tot = 0.00 μB per atom

```
Mg4InGa4
1.0
5.284 0.000 0.000
0.000 8.439 0.000
0.000 0.000 8.439
Mg Ga In
8 8 2
direct
0.874 0.661 0.926
0.626 0.839 0.574
0.374 0.426 0.839
0.874 0.339 0.074
0.374 0.574 0.161
0.126 0.074 0.661
0.126 0.926 0.339
0.626 0.161 0.426
0.388 0.799 0.888
0.112 0.701 0.612
0.888 0.612 0.299
0.612 0.888 0.201
0.612 0.112 0.799
0.388 0.201 0.112
0.888 0.388 0.701
0.112 0.299 0.388
0.500 0.500 0.500
0.000 0.000 0.000
```



4.
Computed, not measured: a relaxed structure of Mg4InGa at the PBE-GGA level of DFT.

Calculated values
SG = P4/mmm (123)
crystal system = tetragonal
raw total energy = -2.0640 eV per atom
energy above the most stable polymorph in this dataset = 0.0455 eV per atom
energy of formation = -0.04 eV/atom
M_tot = 0.00 μB per atom

```
Mg4InGa
1.0
-0.961 -3.272 -3.259
-3.255 -1.881 2.849
-4.630 4.000 -2.652
Mg In Ga
4 1 1
direct
0.001 0.497 0.734
0.501 0.997 0.734
0.501 0.997 0.262
0.001 0.497 0.262
0.501 0.497 0.998
0.001 0.997 0.498
```



5.
Computed, not measured: a relaxed structure of Mg4InGa2 at the PBE-GGA level of DFT.

Calculated values
SG = R-3m (166)
crystal system = trigonal
raw total energy = -2.2219 eV per atom
energy above the most stable polymorph in this dataset = 0.0210 eV per atom
energy of formation = -0.05 eV/atom
M_tot = 0.00 μB per atom

```
Mg4InGa2
1.0
-3.465 0.944 -3.149
-4.274 -2.082 0.457
-5.006 5.580 3.559
Mg In Ga
4 1 2
direct
0.869 0.869 0.392
0.388 0.388 0.837
0.131 0.131 0.608
0.612 0.612 0.163
0.000 0.000 0.000
0.249 0.249 0.253
0.751 0.751 0.747
```



6.
Computed, not measured: a relaxed structure of Mg4InGa2 at the PBE-GGA level of DFT.

Calculated values
SG = P1 (1)
crystal system = triclinic
raw total energy = -2.2430 eV per atom
energy above the most stable polymorph in this dataset = 0.0000 eV per atom
energy of formation = -0.08 eV/atom
M_tot = 0.00 μB per atom

```
Mg4InGa2
1.0
6.174 -0.684 -0.482
-1.076 7.144 -0.755
-2.755 -4.044 7.739
In Mg Ga
2 8 4
direct
0.057 0.662 0.365
0.883 0.872 0.894
0.655 0.831 0.492
0.036 0.359 0.963
0.360 0.008 0.809
0.352 0.492 0.550
0.781 0.088 0.207
0.839 0.471 0.556
0.273 0.964 0.256
0.629 0.554 0.031
0.445 0.327 0.198
0.282 0.692 0.905
0.565 0.235 0.664
0.094 0.196 0.612
```



7.
Computed, not measured: a relaxed structure of Mg4In3Ga2 at the PBE-GGA level of DFT.

Calculated values
SG = C2/m (12)
crystal system = monoclinic
raw total energy = -2.3347 eV per atom
energy of formation = -0.04 eV/atom
M_tot = 0.00 μB per atom

```
Mg4In3Ga2
1.0
5.017 0.000 1.658
2.450 4.765 1.005
-0.043 0.197 8.549
Mg In Ga
4 3 2
direct
0.652 0.647 0.048
0.348 0.353 0.952
0.014 0.309 0.663
0.986 0.691 0.337
0.000 0.000 0.000
0.685 0.941 0.689
0.315 0.059 0.311
0.352 0.668 0.629
0.648 0.332 0.371
```



8.
Computed, not measured: a relaxed structure of MgInGa2 at the PBE-GGA level of DFT.

Calculated values
SG = I-42d (122)
crystal system = tetragonal
raw total energy = -2.5374 eV per atom
energy of formation = 0.06 eV/atom
M_tot = 0.00 μB per atom

```
MgInGa2
1.0
4.227 0.000 0.000
0.000 4.227 0.000
2.113 2.113 10.025
In Mg Ga
2 2 4
direct
0.750 0.250 0.500
0.000 0.000 0.000
0.250 0.750 0.500
0.500 0.500 0.000
0.875 0.859 0.750
0.375 0.391 0.750
0.609 0.125 0.250
0.141 0.625 0.250
```



9.
Computed, not measured: a relaxed structure of Mg2In5Ga2 at the PBE-GGA level of DFT.

Calculated values
SG = P-1 (2)
crystal system = triclinic
raw total energy = -2.5391 eV per atom
energy of formation = 0.01 eV/atom
M_tot = 0.00 μB per atom

```
Mg2In5Ga2
1.0
6.090 0.670 0.075
-0.140 6.263 3.002
-2.028 3.242 7.394
In Mg Ga
5 2 2
direct
0.228 0.188 0.239
0.000 0.000 0.000
0.816 0.459 0.334
0.184 0.541 0.666
0.772 0.812 0.761
0.305 0.826 0.849
0.695 0.174 0.151
0.635 0.590 0.576
0.365 0.410 0.424
```



10.
Computed, not measured: a relaxed structure of Mg8In3Ga2 at the PBE-GGA level of DFT.

Calculated values
SG = Cmmm (65)
crystal system = orthorhombic
raw total energy = -2.1374 eV per atom
energy of formation = -0.06 eV/atom
M_tot = 0.00 μB per atom

```
Mg8In3Ga2
1.0
4.584 0.000 0.619
0.000 9.368 0.000
-0.958 -4.684 7.099
Mg In Ga
8 3 2
direct
0.000 0.849 0.698
0.500 0.392 0.282
0.000 0.151 0.302
0.500 0.110 0.718
0.500 0.608 0.718
0.000 0.628 0.256
0.000 0.372 0.744
0.500 0.890 0.282
0.500 0.000 0.000
0.000 0.247 0.000
0.000 0.753 0.000
0.500 0.743 0.487
0.500 0.257 0.513
```



11.
Computed, not measured: a relaxed structure of MgInGa2 at the PBE-GGA level of DFT.

Calculated values
SG = P2_1/m (11)
crystal system = monoclinic
raw total energy = -2.6445 eV per atom
energy of formation = -0.05 eV/atom
M_tot = 0.00 μB per atom

```
MgInGa2
1.0
-0.568 2.986 -1.160
-2.967 -1.401 -2.153
-8.389 2.275 10.080
Ga Mg In
4 2 2
direct
0.753 0.750 0.282
0.249 0.250 0.948
0.247 0.250 0.718
0.751 0.750 0.052
0.252 0.250 0.169
0.748 0.750 0.831
0.253 0.250 0.418
0.747 0.750 0.582
```



12.
Computed, not measured: a relaxed structure of MgInGa at the PBE-GGA level of DFT.

Calculated values
SG = Pnma (62)
crystal system = orthorhombic
raw total energy = -2.4720 eV per atom
energy of formation = -0.02 eV/atom
M_tot = 0.00 μB per atom

```
MgInGa
1.0
6.523 0.000 0.000
0.000 4.332 0.000
0.000 0.000 9.423
Mg In Ga
4 4 4
direct
0.888 0.250 0.746
0.112 0.750 0.254
0.388 0.250 0.754
0.612 0.750 0.246
0.142 0.750 0.919
0.642 0.750 0.581
0.358 0.250 0.419
0.858 0.250 0.081
0.876 0.250 0.413
0.376 0.250 0.087
0.624 0.750 0.913
0.124 0.750 0.587
```



13.
Computed, not measured: a relaxed structure of MgInGa3 at the PBE-GGA level of DFT.

Calculated values
SG = P2_1/c (14)
crystal system = monoclinic
raw total energy = -2.7228 eV per atom
energy above the most stable polymorph in this dataset = 0.0000 eV per atom
energy of formation = -0.04 eV/atom
M_tot = 0.00 μB per atom

```
MgInGa3
1.0
-0.706 -5.840 6.221
1.286 -1.832 -10.154
5.763 0.068 0.718
Ga In Mg
12 4 4
direct
0.364 0.815 0.743
0.636 0.185 0.257
0.238 0.992 0.980
0.136 0.185 0.243
0.992 0.354 0.484
0.008 0.646 0.516
0.508 0.646 0.984
0.864 0.815 0.757
0.762 0.008 0.020
0.492 0.354 0.016
0.738 0.992 0.520
0.262 0.008 0.480
0.083 0.409 0.989
0.583 0.409 0.511
0.417 0.591 0.489
0.917 0.591 0.011
0.365 0.819 0.230
0.135 0.181 0.730
0.865 0.819 0.270
0.635 0.181 0.770
```



14.
Computed, not measured: a relaxed structure of MgIn16Ga12 at the PBE-GGA level of DFT.

Calculated values
SG = Cm (8)
crystal system = monoclinic
raw total energy = -2.7879 eV per atom
energy of formation = 0.03 eV/atom
M_tot = 0.00 μB per atom

```
MgIn16Ga12
1.0
9.726 -0.560 -3.173
-5.289 8.182 -3.173
-0.122 -0.209 9.155
In Ga Mg
16 12 1
direct
0.420 0.652 0.995
0.994 0.994 0.656
0.321 0.719 0.314
0.008 0.399 0.693
0.652 0.420 0.995
0.608 0.279 0.600
0.693 0.995 0.396
0.989 0.644 0.993
0.290 0.290 0.673
0.644 0.989 0.993
0.995 0.693 0.396
0.279 0.608 0.600
0.399 0.008 0.693
0.719 0.321 0.314
0.004 0.004 0.013
0.369 0.369 0.376
0.986 0.383 0.183
0.803 0.172 0.808
0.198 0.993 0.347
0.639 0.818 0.637
0.172 0.803 0.808
0.993 0.198 0.347
0.180 0.357 0.014
0.383 0.986 0.183
0.818 0.639 0.637
0.638 0.638 0.819
0.838 0.838 0.205
0.357 0.180 0.014
0.609 0.609 0.300
```



15.
Computed, not measured: a relaxed structure of Mg8InGa2 at the PBE-GGA level of DFT.

Calculated values
SG = C2/m (12)
crystal system = monoclinic
raw total energy = -2.0429 eV per atom
energy above the most stable polymorph in this dataset = 0.0000 eV per atom
energy of formation = -0.08 eV/atom
M_tot = 0.00 μB per atom

```
Mg8InGa2
1.0
-0.257 1.441 -4.256
6.708 -2.172 -1.141
-5.313 -6.430 0.524
Mg Ga In
8 2 1
direct
0.033 0.748 0.067
0.174 0.255 0.348
0.826 0.745 0.652
0.676 0.929 0.352
0.599 0.466 0.198
0.324 0.071 0.648
0.967 0.252 0.933
0.401 0.534 0.802
0.195 0.674 0.390
0.805 0.326 0.610
0.500 0.000 0.000
```



16.
Computed, not measured: a relaxed structure of Mg4InGa15 at the PBE-GGA level of DFT.

Calculated values
SG = P4/mmm (123)
crystal system = tetragonal
raw total energy = -2.7972 eV per atom
energy of formation = -0.07 eV/atom
M_tot = 0.00 μB per atom

```
Mg4InGa15
1.0
4.182 0.000 0.000
0.000 4.182 0.000
0.000 0.000 21.853
Ga Mg In
15 4 1
direct
0.500 0.000 0.500
0.500 0.500 0.408
0.000 0.500 0.113
0.500 0.000 0.309
0.000 0.500 0.691
0.500 0.500 0.000
0.500 0.000 0.887
0.000 0.500 0.887
0.500 0.500 0.212
0.000 0.500 0.500
0.000 0.500 0.309
0.500 0.500 0.592
0.500 0.000 0.113
0.500 0.000 0.691
0.500 0.500 0.788
0.000 0.000 0.405
0.000 0.000 0.212
0.000 0.000 0.788
0.000 0.000 0.595
0.000 0.000 0.000
```



17.
Computed, not measured: a relaxed structure of Mg3InGa2 at the PBE-GGA level of DFT.

Calculated values
SG = P4/mmm (123)
crystal system = tetragonal
raw total energy = -2.3852 eV per atom
energy of formation = -0.12 eV/atom
M_tot = 0.00 μB per atom

```
Mg3InGa2
1.0
-2.194 -2.164 -1.209
-0.294 -1.376 2.996
-8.453 7.189 2.474
Ga Mg In
2 3 1
direct
0.500 0.500 0.843
0.500 0.500 0.157
0.000 0.000 0.307
0.000 0.000 0.693
0.000 0.000 0.000
0.500 0.500 0.500
```



18.
Computed, not measured: a relaxed structure of Mg5InGa4 at the PBE-GGA level of DFT.

Calculated values
SG = P4/mmm (123)
crystal system = tetragonal
raw total energy = -2.4069 eV per atom
energy of formation = -0.12 eV/atom
M_tot = 0.00 μB per atom

```
Mg5InGa4
1.0
3.390 0.000 0.000
0.000 3.390 0.000
0.000 0.000 17.620
Mg Ga In
5 4 1
direct
0.500 0.500 0.882
0.500 0.500 0.690
0.500 0.500 0.310
0.500 0.500 0.500
0.500 0.500 0.118
0.000 0.000 0.787
0.000 0.000 0.406
0.000 0.000 0.594
0.000 0.000 0.213
0.000 0.000 0.000
```



19.
Computed, not measured: a relaxed structure of MgInGa2 at the PBE-GGA level of DFT.

Calculated values
SG = Cmcm (63)
crystal system = orthorhombic
raw total energy = -2.6249 eV per atom
energy of formation = -0.03 eV/atom
M_tot = 0.00 μB per atom

```
MgInGa2
1.0
-3.165 2.664 -1.239
-1.737 -6.073 -1.091
-2.685 -0.335 6.140
Ga Mg In
4 2 2
direct
0.394 0.788 0.948
0.394 0.788 0.552
0.606 0.212 0.448
0.606 0.212 0.052
0.772 0.544 0.750
0.228 0.456 0.250
0.939 0.877 0.250
0.061 0.123 0.750
```



20.
Computed, not measured: a relaxed structure of Mg6InGa2 at the PBE-GGA level of DFT.

Calculated values
SG = Immm (71)
crystal system = orthorhombic
raw total energy = -2.1277 eV per atom
energy above the most stable polymorph in this dataset = 0.0000 eV per atom
energy of formation = -0.09 eV/atom
M_tot = 0.00 μB per atom

```
Mg6InGa2
1.0
-3.464 4.500 -5.684
3.534 -6.635 -2.836
-5.368 -2.921 5.216
Ga Mg In
4 12 2
direct
0.500 0.372 0.872
0.500 0.628 0.128
0.653 0.000 0.653
0.347 0.000 0.347
0.791 0.752 0.543
0.482 0.285 0.197
0.209 0.248 0.457
0.286 0.960 0.674
0.518 0.715 0.803
0.286 0.612 0.326
0.088 0.285 0.803
0.912 0.715 0.197
0.714 0.040 0.326
0.791 0.248 0.040
0.209 0.752 0.960
0.714 0.388 0.674
0.000 0.500 0.500
0.000 0.000 0.000
```



21.
Computed, not measured: a relaxed structure of Mg6InGa at the PBE-GGA level of DFT.

Calculated values
SG = C2/m (12)
crystal system = monoclinic
raw total energy = -1.9887 eV per atom
energy above the most stable polymorph in this dataset = 0.0131 eV per atom
energy of formation = -0.07 eV/atom
M_tot = 0.00 μB per atom

```
Mg6InGa
1.0
-1.484 -1.178 5.202
-4.585 -2.067 2.316
-0.658 -9.253 3.555
Mg In Ga
6 1 1
direct
0.244 0.243 0.256
0.124 0.124 0.620
0.622 0.621 0.128
0.756 0.757 0.744
0.378 0.379 0.872
0.876 0.876 0.380
0.000 0.000 0.000
0.500 0.500 0.500
```